CaInAs2Rh5, relaxed, DFT PBE; formation enthalpy at 0 K = -3.20 eV/f.u.; spin magnetization = 0.00 μB/f.u.; E_tot = -5.999 eV per atom
1.0
4.0778 0.0000 0.0000
0.0000 4.0778 0.0000
0.0000 0.0000 10.8057
Ca In As Rh
1 1 2 5
Direct
0.0000 0.0000 0.0000
0.0000 0.0000 0.5000
0.5000 0.5000 0.2179
0.5000 0.5000 0.7821
0.0000 0.5000 0.3337
0.0000 0.5000 0.6663
0.5000 0.0000 0.3337
0.5000 0.0000 0.6663
0.5000 0.5000 0.0000